A relaxed PrMgGa4 crystal, computed with PBE.

Cell: 4.433 5.952 5.952 Å, 73.83 68.14 68.14°
Element x y z (fractional)
1 Ga 0.714 0.605 0.967
2 Ga 0.286 0.395 0.033
3 Ga 0.286 0.033 0.395
4 Ga 0.714 0.967 0.605
5 Pr 0.000 0.000 0.000
6 Mg 0.500 0.500 0.500

Calculated values
D(E_F): 1.79 states/eV per cell
space-group type: Immm
total energy: -3.425 eV/atom
E_form: -2.07 eV/f.u.
polymorph energy (0 for the lowest one): 0.0573 eV per atom